{"formula": "KRb2Na", "functional": "PBE", "state": "relaxed", "total_energy_ev_per_cell": -4.0, "total_magnetization_mub_per_fu": 0.0, "n_ef_per_ev_cell": 3.399, "lattice": [[-3.839, -1.224, -2.277], [-2.559, -3.545, 1.517], [-10.713, 8.477, 8.800]], "species": ["Rb", "Rb", "K", "Na"], "frac_coords": [[0.917, 0.917, 0.248], [0.083, 0.083, 0.752], [0.500, 0.500, 0.500], [0.000, 0.000, 0.000]]}

{"formula": "Pr3NiN", "functional": "PBE", "state": "relaxed", "total_magnetization_mub_per_fu": 0.0, "n_ef_per_ev_cell": 15.757, "formation_energy_uncorrected_kj_per_mol_atoms": -49.6, "lattice": [[-5.228, 3.538, 0.492], [-1.326, -3.142, 8.509], [4.768, 7.096, -0.369]], "species": ["Pr", "Pr", "Pr", "Pr", "Pr", "Pr", "Pr", "Pr", "Pr", "Pr", "Pr", "Pr", "N", "N", "N", "N", "Ni", "Ni", "Ni", "Ni"], "frac_coords": [[0.096, 0.053, 0.206], [0.892, 0.768, 0.372], [0.392, 0.732, 0.628], [0.075, 0.640, 0.913], [0.575, 0.860, 0.087], [0.404, 0.553, 0.206], [0.904, 0.947, 0.794], [0.925, 0.360, 0.087], [0.608, 0.268, 0.372], [0.108, 0.232, 0.628], [0.596, 0.447, 0.794], [0.425, 0.140, 0.913], [0.747, 0.103, 0.080], [0.253, 0.897, 0.920], [0.753, 0.603, 0.080], [0.247, 0.397, 0.920], [0.852, 0.582, 0.575], [0.352, 0.918, 0.425], [0.148, 0.418, 0.425], [0.648, 0.082, 0.575]]}